LaTc2I: optimized geometry, PBE.

Cell lengths 6.825, 6.825, 6.825 Å; angles 90.00, 90.00, 90.00 degrees
Space group Fm-3m (No. 225)
Inequivalent atoms, fractional coordinates:
La (0.000, 0.000, 0.000) x4
Tc (0.250, 0.250, 0.250) x8
I (0.000, 0.000, 0.500) x4

Energy relative to the lowest polymorph listed for this composition = 84 meV per atom
E_form (uncorrected) = 0.688 eV per atom